Mn2CdRu: optimized geometry, PBE.

The structure belongs to space group Imm2 (No. 44); the cell edges are 3.0066, 4.4862 and 9.0751 Å and the angles 90.00°, 90.00° and 90.00°. Symmetry generates all atoms from Mn at (0.0000, 0.0000, 0.0000), Mn at (0.0000, 0.5000, 0.2507), Cd at (0.0000, 0.0000, 0.4869) and Ru at (0.0000, 0.5000, 0.7209).

Mn2CdRu: optimized geometry, PBE.

The structure belongs to space group P4/mmm (No. 123); the cell edges are 3.0721, 3.0721 and 6.6476 Å and the angles 90.00°, 90.00° and 90.00°. Symmetry generates all atoms from Mn at (0.0000, 0.0000, 0.2169), Cd at (0.5000, 0.5000, 0.5000) and Ru at (0.5000, 0.5000, 0.0000).

Computed spin magnetization, in the same sequence as the records: 6.49; 7.30 μB per formula unit.
Computed formation energy, in the same sequence as the records: 333.8; 191.6 meV per atom.